# Fe2BiTeO6 | the Alexandria database | PBE+U | optimized geometry
data_Fe2BiTeO6
_chemical_formula_sum 'Fe4 Bi2 Te2 O12'
_space_group_name_H-M_alt 'P 1 21/c 1'
_space_group_IT_number 14
_cell_length_a 5.687
_cell_length_b 5.689
_cell_length_c 9.910
_cell_angle_alpha 90.00
_cell_angle_beta 124.80
_cell_angle_gamma 90.00
loop_
_space_group_symop_operation_xyz
'x,y,z'
'-x,-y,-z'
'-x,y+1/2,-z+1/2'
'x,-y+1/2,z+1/2'
loop_
_atom_site_label
_atom_site_type_symbol
_atom_site_fract_x
_atom_site_fract_y
_atom_site_fract_z
Fe1 Fe 0.243 0.023 0.226
Bi1 Bi 0.000 0.000 0.500
Te1 Te 0.500 0.000 0.000
O1 O 0.134 0.145 0.956
O2 O 0.256 0.693 0.899
O3 O 0.404 0.125 0.771
# Calculated total energy (eV/atom): -5.924
# DOS(E_F) (states/eV per cell): 6.56